Crystalline Nb2FeMo at its relaxed geometry, computed with PBE-GGA.

Cell: 3.068 3.068 8.268 Å, 79.31 79.31 60.00°
Positions (direct):
Nb 0.747 0.747 0.760
Nb 0.253 0.253 0.240
Mo 0.500 0.500 0.500
Fe 0.000 0.000 0.000

Results
Its space group is R-3m, No. 166. As for the total energy: -9.58 eV per atom.